(1)
Computed, not measured: a relaxed structure of RbPO3 at the PBE-GGA level of DFT.

POSCAR file:
```
RbPO3
1.0
6.6244 0.0000 0.0000
0.0000 4.3193 0.0000
-5.4314 0.0000 12.2555
Rb P O
4 4 12
Cartesian
-0.9765 0.5734 4.9915 Rb
-3.6922 1.5863 11.1192 Rb
4.8852 2.7330 1.1363 Rb
2.1695 3.7459 7.2640 Rb
-1.2983 2.2062 8.3204 P
1.4173 4.2728 2.1927 P
-0.2244 0.0465 10.0628 P
2.4913 2.1131 3.9351 P
0.0446 0.5609 2.1677 O
-2.6710 1.5988 8.2954 O
-0.7195 2.8283 7.0855 O
1.9962 3.6506 0.9577 O
1.3830 3.2040 3.4313 O
-1.3327 3.2750 9.5590 O
2.5257 1.0443 2.6965 O
-0.1900 1.1153 8.8242 O
-0.8032 0.6687 11.2978 O
1.9125 1.4909 5.1700 O
3.8640 2.7205 3.9601 O
1.1483 3.7584 10.0878 O
```

**Electronic total energy**: -6.5099 eV per atom



(2)
Computed, not measured: a relaxed structure of Ta2TcSb at the PBE-GGA level of DFT.

POSCAR file:
```
Ta2TcSb
1.0
3.0506 0.0000 0.0000
0.0000 4.5810 0.0000
-1.2648 0.0000 5.2343
Ta Tc Sb
2 1 1
Cartesian
0.0000 0.0000 0.0000 Ta
-0.1722 2.2905 3.7903 Ta
1.9165 2.2905 0.9869 Tc
1.4801 0.0000 2.4737 Sb
```

**Electronic total energy**: -9.4662 eV per atom



(3)
Computed, not measured: a relaxed structure of MgNi2Pd2 at the PBE-GGA level of DFT.

POSCAR file:
```
MgNi2Pd2
1.0
7.1432 0.0000 0.0000
0.0000 7.1432 0.0000
0.0000 0.0000 2.8847
Mg Ni Pd
2 4 4
Cartesian
0.0000 0.0000 0.0000 Mg
3.5716 3.5716 0.0000 Mg
1.1332 2.4384 1.4423 Ni
2.4384 6.0100 1.4423 Ni
4.7048 1.1332 1.4423 Ni
6.0100 4.7048 1.4423 Ni
0.9947 4.5663 0.0000 Pd
2.5769 0.9947 0.0000 Pd
4.5663 6.1486 0.0000 Pd
6.1486 2.5769 0.0000 Pd
```

**Calculated formation energy**: -0.050 eV per atom



(4)
Computed, not measured: a relaxed structure of La2Nd12Tm5 at the PBE-GGA level of DFT.

POSCAR file:
```
La2Nd12Tm5
1.0
10.6941 -4.7209 0.0000
10.6941 4.7209 0.0000
-0.0794 0.0000 6.5997
La Nd Tm
2 12 5
Cartesian
10.6941 2.8245 0.0000 La
10.6941 -2.8245 0.0000 La
7.7406 2.9620 3.9778 Nd
6.2882 1.6143 1.1099 Nd
2.8362 0.0000 6.0069 Nd
13.5683 2.9620 2.6219 Nd
9.3987 0.0000 2.2629 Nd
6.2882 -1.6143 1.1099 Nd
15.0207 1.6143 5.4898 Nd
11.9102 0.0000 4.3369 Nd
7.7406 -2.9620 3.9778 Nd
18.4727 0.0000 0.5928 Nd
15.0207 -1.6143 5.4898 Nd
13.5683 -2.9620 2.6219 Nd
-0.0397 0.0000 3.2999 Tm
5.5979 0.0000 4.2177 Tm
8.5845 0.0000 5.6187 Tm
12.7244 0.0000 0.9810 Tm
15.7110 0.0000 2.3821 Tm
```

**Calculated formation energy**: 0.142 eV per atom



(5)
Computed, not measured: a relaxed structure of Na3DyTl2O6 at the PBE-GGA level of DFT.

POSCAR file:
```
Na3DyTl2O6
1.0
2.9434 -5.0992 0.0000
2.9434 5.0992 0.0000
-1.9556 0.0000 5.6436
Na Dy Tl O
3 1 2 6
Cartesian
0.0000 0.0000 0.0000 Na
2.9434 1.7636 0.0000 Na
2.9434 -1.7636 0.0000 Na
1.9656 0.0000 2.8218 Dy
1.9656 3.4034 2.8218 Tl
1.9656 -3.4034 2.8218 Tl
0.9976 1.6777 1.5590 O
0.0289 0.0000 4.0879 O
0.9976 -1.6777 1.5590 O
2.9336 1.6777 4.0846 O
3.9023 0.0000 1.5557 O
2.9336 -1.6777 4.0846 O
```

**Electronic total energy**: -5.2166 eV per atom



(6)
Computed, not measured: a relaxed structure of Ho2Al3Zn4Ag at the PBE-GGA level of DFT.

POSCAR file:
```
Ho2Al3Zn4Ag
1.0
4.1276 0.0000 0.0000
0.0000 4.1276 0.0000
0.0000 0.0000 11.0463
Ho Al Zn Ag
2 3 4 1
Cartesian
0.0000 2.0638 2.6784 Ho
2.0638 0.0000 8.3678 Ho
0.0000 2.0638 9.5552 Al
2.0638 0.0000 1.4910 Al
2.0638 2.0638 5.5231 Al
0.0000 0.0000 0.0000 Zn
0.0000 2.0638 7.1316 Zn
2.0638 0.0000 3.9147 Zn
2.0638 2.0638 0.0000 Zn
0.0000 0.0000 5.5231 Ag
```

**Calculated formation energy**: -0.300 eV per atom



(7)
Computed, not measured: a relaxed structure of CaMn4Ga8 at the PBE-GGA level of DFT.

POSCAR file:
```
CaMn4Ga8
1.0
-4.4169 4.4169 2.6102
4.4169 -4.4169 2.6102
4.4169 4.4169 -2.6102
Ca Mn Ga
1 4 8
Cartesian
0.0000 0.0000 0.0000 Ca
2.2085 2.2085 -1.3051 Mn
2.2085 -2.2085 1.3051 Mn
-2.2085 2.2085 1.3051 Mn
2.2085 2.2085 1.3051 Mn
2.9091 0.0000 0.0000 Ga
5.9248 0.0000 0.0000 Ga
4.4169 2.3613 0.0000 Ga
0.0000 2.9091 0.0000 Ga
2.3613 4.4169 0.0000 Ga
2.0556 0.0000 2.6102 Ga
0.0000 5.9248 0.0000 Ga
0.0000 2.0556 2.6102 Ga
```

**Calculated formation energy**: -0.207 eV per atom